Entry 1:
Rb4AuBr3: relaxed, PBE.

abc: 8.6254 8.6254 4.9633
angles: 90.00 90.00 109.30
Sites, in units of the cell vectors:
Rb1 0.2463 0.2463 0.5000
Rb2 0.2486 0.7514 0.0000
Rb3 0.7514 0.2486 0.0000
Rb4 0.7537 0.7537 0.5000
Au1 0.5000 0.5000 0.0000
Br1 0.0000 0.0000 0.0000
Br2 0.0000 0.5000 0.5000
Br3 0.5000 0.0000 0.5000

Output
space-group type = No. 65
crystal system = orthorhombic
V = 348.5 Å³/cell
formation energy without anion corrections = -11.006 eV/f.u.


Entry 2:
La3Pr2Cu2: relaxed, PBE.

abc: 3.8801 6.6046 9.0695
angles: 100.70 102.33 107.04
Sites, in units of the cell vectors:
La1 0.0000 0.0000 0.0000
La2 0.3274 0.2114 0.4400
La3 0.6726 0.7886 0.5600
Pr1 0.1544 0.4937 0.8144
Pr2 0.8456 0.5063 0.1856
Cu1 0.4396 0.1038 0.7756
Cu2 0.5604 0.8962 0.2244

Output
space-group type = No. 2
crystal system = triclinic
V = 209.3 Å³/cell
formation enthalpy at 0 K = -0.08 eV per atom


Entry 3:
ZnTe2NCl: relaxed, PBE.

abc: 5.6423 5.6423 3.6007
angles: 90.00 90.00 90.00
Sites, in units of the cell vectors:
Zn1 0.0000 0.0000 0.0000
Te1 0.0000 0.5000 0.0000
Te2 0.5000 0.0000 0.0000
N1 0.0000 0.0000 0.5000
Cl1 0.5000 0.5000 0.5000

Output
space-group type = No. 123
relative energy among the computed polymorphs = 0.0 meV/atom
crystal system = tetragonal
V = 114.6 Å³/cell
formation energy without anion corrections = 4.298 eV/f.u.


Entry 4:
Pb2BrO: relaxed, PBE.

abc: 5.0917 5.0917 5.0917
angles: 60.00 60.00 60.00
Sites, in units of the cell vectors:
Pb1 0.2500 0.2500 0.2500
Pb2 0.7500 0.7500 0.7500
Br1 0.0000 0.0000 0.0000
O1 0.5000 0.5000 0.5000

Output
space-group type = No. 225
relative energy among the computed polymorphs = 685.5 meV/atom
crystal system = cubic
V = 93.3 Å³/cell
formation energy without anion corrections = -0.667 eV/f.u.


Entry 5:
CaScP: relaxed, PBE.

abc: 6.4801 6.4801 6.4801
angles: 148.95 148.95 44.48
Sites, in units of the cell vectors:
Ca1 0.0000 0.0000 0.0000
Sc1 0.7420 0.7420 0.0000
P1 0.3334 0.3334 0.0000

Output
space-group type = No. 107
crystal system = tetragonal
V = 72.2 Å³/cell
formation enthalpy at 0 K = -0.71 eV per atom


Entry 6:
Li3La2CdGe4: relaxed, PBE.

abc: 4.2723 4.2723 11.1539
angles: 90.00 90.00 90.00
Sites, in units of the cell vectors:
Li1 0.0000 0.0000 0.0000
Li2 0.0000 0.5000 0.6259
Li3 0.5000 0.0000 0.3741
La1 0.0000 0.5000 0.2616
La2 0.5000 0.0000 0.7384
Cd1 0.5000 0.5000 0.0000
Ge1 0.0000 0.0000 0.5000
Ge2 0.0000 0.5000 0.8470
Ge3 0.5000 0.0000 0.1530
Ge4 0.5000 0.5000 0.5000

Output
space-group type = No. 115
crystal system = tetragonal
V = 203.6 Å³/cell
formation enthalpy at 0 K = -0.57 eV per atom


Entry 7:
BeSbPt2: relaxed, PBE.

abc: 3.6327 4.3000 4.4154
angles: 90.00 90.08 90.00
Sites, in units of the cell vectors:
Be1 0.0000 0.0000 0.0000
Sb1 0.5004 0.5000 0.3102
Pt1 0.9996 0.5000 0.8579
Pt2 0.4992 0.0000 0.6683

Output
space-group type = No. 6
relative energy among the computed polymorphs = 134.6 meV/atom
crystal system = monoclinic
V = 69.0 Å³/cell
formation energy without anion corrections = -1.089 eV/f.u.


Entry 8:
Rb6I5Cl: relaxed, PBE.

abc: 9.0026 9.0026 9.0325
angles: 99.60 99.60 120.02
Sites, in units of the cell vectors:
Rb1 0.0794 0.3954 0.7388
Rb2 0.2354 0.2354 0.2611
Rb3 0.3954 0.0794 0.7388
Rb4 0.6046 0.9206 0.2612
Rb5 0.7646 0.7646 0.7389
Rb6 0.9206 0.6046 0.2612
I1 0.1704 0.8296 0.0000
I2 0.3338 0.6662 0.5000
I3 0.5000 0.5000 0.0000
I4 0.6662 0.3338 0.5000
I5 0.8296 0.1704 0.0000
Cl1 0.0000 0.0000 0.5000

Output
space-group type = No. 12
crystal system = monoclinic
V = 597.5 Å³/cell
formation energy without anion corrections = -18.751 eV/f.u.


Entry 9:
Sm8TcHg2: relaxed, PBE.

abc: 8.8541 8.8541 8.8541
angles: 146.74 121.89 68.63
Sites, in units of the cell vectors:
Sm1 0.1152 0.3481 0.7672
Sm2 0.1193 0.1193 0.0000
Sm3 0.3329 0.0000 0.3329
Sm4 0.4191 0.6519 0.7672
Sm5 0.5809 0.3481 0.2328
Sm6 0.6671 0.0000 0.6671
Sm7 0.8807 0.8807 0.0000
Sm8 0.8848 0.6519 0.2328
Tc1 0.0000 0.5000 0.5000
Hg1 0.3011 0.8011 0.5000
Hg2 0.6989 0.1989 0.5000

Output
space-group type = No. 71
relative energy among the computed polymorphs = 97.3 meV/atom
crystal system = orthorhombic
V = 318.7 Å³/cell
formation enthalpy at 0 K = -0.06 eV per atom


Entry 10:
CrSbIr2: relaxed, PBE.

abc: 8.7407 8.7407 8.7407
angles: 19.52 19.52 19.52
Sites, in units of the cell vectors:
Cr1 0.0000 0.0000 0.0000
Sb1 0.5000 0.5000 0.5000
Ir1 0.2566 0.2566 0.2566
Ir2 0.7434 0.7434 0.7434

Output
space-group type = No. 166
crystal system = trigonal
V = 65.2 Å³/cell
formation energy without anion corrections = 1.131 eV/f.u.


Entry 11:
Cs2NaIO6: relaxed, PBE.

abc: 6.4198 6.4198 6.4198
angles: 60.00 60.00 60.00
Sites, in units of the cell vectors:
Cs1 0.2500 0.2500 0.2500
Cs2 0.7500 0.7500 0.7500
Na1 0.0000 0.0000 0.0000
I1 0.5000 0.5000 0.5000
O1 0.2913 0.2913 0.7087
O2 0.2913 0.7087 0.2913
O3 0.2913 0.7087 0.7087
O4 0.7087 0.2913 0.2913
O5 0.7087 0.2913 0.7087
O6 0.7087 0.7087 0.2913

Output
space-group type = No. 225
crystal system = cubic
V = 187.1 Å³/cell
formation energy without anion corrections = -8.838 eV/f.u.